CuNi2H GGA-PBE optimized geometry; electronic total energy = -0.1754 Ha/atom; density of states at the Fermi level = 8.94 states/eV/cell; offset from the most stable computed form = 0.0 meV/atom; space-group type = No. 160
1.0
2.551 0.000 0.000
-1.276 2.209 0.000
0.000 0.000 18.916
Cu Ni H
3 6 3
direct
0.000 0.000 0.000
0.333 0.667 0.667
0.667 0.333 0.333
0.000 0.000 0.224
0.000 0.000 0.443
0.333 0.667 0.109
0.333 0.667 0.891
0.667 0.333 0.558
0.667 0.333 0.776
0.000 0.000 0.833
0.333 0.667 0.500
0.667 0.333 0.166